(1)
This record from Alexandria via LeMat-Bulk describes Tc2Ru after structural relaxation. The functional is PBE-GGA.

Computed properties:
total magnetic moment	0.00	μB/f.u.
E above lowest polymorph	1041	meV per atom
energy relative to the elements	0.994	eV per atom

Cell lengths 4.411, 4.411, 2.680 Å; angles 90.00, 90.00, 90.00 degrees
Positions (direct):
Ru1 0.000 0.000 0.000
Tc1 0.000 0.500 0.500
Tc2 0.500 0.000 0.500

=====

(2)
This record from Alexandria via LeMat-Bulk describes Tc5Ru2 after structural relaxation. The functional is PBE-GGA.

Computed properties:
total magnetic moment	0.00	μB/f.u.
energy relative to the elements	-0.049	eV per atom

Cell lengths 4.772, 6.471, 7.019 Å; angles 94.35, 90.00, 111.64 degrees
Positions (direct):
Tc1 0.026 0.719 0.038
Ru1 0.262 0.857 0.392
Ru2 0.595 0.857 0.892
Tc2 0.550 0.434 0.824
Tc3 0.450 0.566 0.176
Tc4 0.116 0.566 0.676
Ru3 0.405 0.143 0.108
Tc5 0.165 0.000 0.750
Tc6 0.306 0.281 0.462
Tc7 0.694 0.719 0.538
Tc8 0.884 0.434 0.324
Tc9 0.974 0.281 0.962
Tc10 0.835 0.000 0.250
Ru4 0.738 0.143 0.608

=====

(3)
This record from Alexandria via LeMat-Bulk describes Tc3Ru4 after structural relaxation. The functional is PBE-GGA.

Computed properties:
total magnetic moment	0.00	μB/f.u.
E above lowest polymorph	0	meV per atom
energy relative to the elements	0.262	eV per atom

Cell lengths 4.971, 4.971, 4.829 Å; angles 90.00, 90.00, 120.00 degrees
Positions (direct):
Ru1 0.000 0.000 0.743
Ru2 0.000 0.000 0.257
Tc1 0.500 0.000 0.000
Ru3 0.667 0.333 0.500
Tc2 0.000 0.500 0.000
Tc3 0.500 0.500 0.000
Ru4 0.333 0.667 0.500

=====

(4)
This record from Alexandria via LeMat-Bulk describes TcRu5 after structural relaxation. The functional is PBE-GGA.

Computed properties:
total magnetic moment	0.00	μB/f.u.
E above lowest polymorph	589	meV per atom
energy relative to the elements	0.554	eV per atom

Cell lengths 5.010, 5.010, 5.010 Å; angles 60.00, 60.00, 60.00 degrees
Positions (direct):
Ru1 0.625 0.625 0.625
Ru2 0.126 0.625 0.625
Ru3 0.250 0.250 0.250
Tc1 0.000 0.000 0.000
Ru4 0.625 0.625 0.126
Ru5 0.625 0.126 0.625

=====

(5)
This record from Alexandria via LeMat-Bulk describes Tc2Ru after structural relaxation. The functional is PBE-GGA.

Computed properties:
total magnetic moment	0.00	μB/f.u.
E above lowest polymorph	233	meV per atom
energy relative to the elements	0.187	eV per atom

Cell lengths 4.953, 4.953, 4.953 Å; angles 104.14, 104.14, 120.76 degrees
Positions (direct):
Ru1 0.750 0.750 0.000
Ru2 0.250 0.250 0.000
Tc1 0.360 0.860 0.220
Tc2 0.140 0.360 0.500
Tc3 0.640 0.140 0.780
Tc4 0.860 0.640 0.500

=====

(6)
This record from Alexandria via LeMat-Bulk describes Tc5Ru3 after structural relaxation. The functional is PBE-GGA.

Computed properties:
total magnetic moment	0.00	μB/f.u.
E above lowest polymorph	225	meV per atom
energy relative to the elements	0.283	eV per atom

Cell lengths 7.573, 7.574, 4.810 Å; angles 90.00, 90.00, 59.98 degrees
Positions (direct):
Tc1 0.796 0.000 0.750
Tc2 0.333 0.333 0.000
Ru1 0.587 0.413 0.750
Ru2 0.587 0.000 0.250
Tc3 0.667 0.667 0.000
Tc4 0.204 0.000 0.250
Ru3 0.000 0.413 0.250
Ru4 0.000 0.587 0.750
Tc5 0.796 0.204 0.250
Ru5 0.413 0.587 0.250
Tc6 0.000 0.204 0.750
Ru6 0.413 0.000 0.750
Tc7 0.000 0.796 0.250
Tc8 0.204 0.796 0.750
Tc9 0.667 0.667 0.500
Tc10 0.333 0.333 0.500

=====

Copy entry 3 word for word.
This record from Alexandria via LeMat-Bulk describes Tc3Ru4 after structural relaxation. The functional is PBE-GGA.

Computed properties:
total magnetic moment	0.00	μB/f.u.
E above lowest polymorph	0	meV per atom
energy relative to the elements	0.262	eV per atom

Cell lengths 4.971, 4.971, 4.829 Å; angles 90.00, 90.00, 120.00 degrees
Positions (direct):
Ru1 0.000 0.000 0.743
Ru2 0.000 0.000 0.257
Tc1 0.500 0.000 0.000
Ru3 0.667 0.333 0.500
Tc2 0.000 0.500 0.000
Tc3 0.500 0.500 0.000
Ru4 0.333 0.667 0.500

=====

Question: What is the total magnetic moment in the second record?
Answer: 0.00 μB/f.u.

=====

Question: total magnetic moment of number 6 (Tc5Ru3)?
Answer: 0.00 μB/f.u.